Entry from the Alexandria database: an optimized crystal structure of SbIrAu2 (GGA-PBE).

The space group is P4/mmm, No. 123. The formation energy (no corrections) is 0.416 eV per atom. For the final energy, the calculation gives -0.164 Ha/atom. As for the density of states at the Fermi level: 4.24 states/eV/f.u.

Cell lengths 3.009, 3.009, 8.499 Å; angles 90.00, 90.00, 90.00 degrees
Element x y z (fractional)
Sb: 0.000 0.000 0.000
Ir: 0.000 0.000 0.500
Au: 0.500 0.500 0.280
Au: 0.500 0.500 0.720